(1)
SmEuEr4 | GGA-PBE | relaxed

abc: 6.658 6.658 6.658
angles: 60.00 60.00 60.00
Element x y z (fractional)
Sm  0.000  0.000  0.000
Eu  0.250  0.250  0.250
Er  0.121  0.626  0.626
Er  0.626  0.121  0.626
Er  0.626  0.626  0.121
Er  0.626  0.626  0.626

## Properties
Formation energy from the elements = 0.258 eV/atom


(2)
SmEuErSn | GGA-PBE | relaxed

abc: 5.485 5.485 5.485
angles: 60.00 60.00 60.00
Element x y z (fractional)
Sm  0.000  0.000  0.000
Eu  0.750  0.750  0.750
Er  0.500  0.500  0.500
Sn  0.250  0.250  0.250

## Properties
Formation energy from the elements = -0.236 eV/atom


(3)
SmEuErTl | GGA-PBE | relaxed

abc: 5.548 5.548 5.548
angles: 60.00 60.00 60.00
Element x y z (fractional)
Sm  0.000  0.000  0.000
Eu  0.750  0.750  0.750
Er  0.500  0.500  0.500
Tl  0.250  0.250  0.250

## Properties
Formation energy from the elements = -0.030 eV/atom


(4)
SmEuErTm | GGA-PBE | relaxed

abc: 5.730 5.730 5.730
angles: 60.00 60.00 60.00
Element x y z (fractional)
Sm  0.000  0.000  0.000
Eu  0.500  0.500  0.500
Er  0.750  0.750  0.750
Tm  0.250  0.250  0.250

## Properties
Formation energy from the elements = 0.152 eV/atom


(5)
SmEuYEr | GGA-PBE | relaxed

abc: 5.780 5.780 5.780
angles: 60.00 60.00 60.00
Element x y z (fractional)
Sm  0.000  0.000  0.000
Eu  0.250  0.250  0.250
Y  0.500  0.500  0.500
Er  0.750  0.750  0.750

## Properties
Formation energy from the elements = 0.155 eV/atom


(6)
EuErSn2 | GGA-PBE | relaxed

abc: 4.971 4.971 4.455
angles: 90.00 90.00 90.00
Element x y z (fractional)
Eu  0.000  0.000  0.000
Er  0.500  0.500  0.000
Sn  0.000  0.500  0.500
Sn  0.500  0.000  0.500

## Properties
Formation energy from the elements = -0.590 eV/atom


(7)
EuErSn2 | GGA-PBE | relaxed

abc: 3.993 3.993 7.134
angles: 90.00 90.00 90.00
Element x y z (fractional)
Eu  0.000  0.000  0.000
Er  0.000  0.000  0.500
Sn  0.500  0.500  0.278
Sn  0.500  0.500  0.722

## Properties
Formation energy from the elements = -0.609 eV/atom


(8)
SrEu2Er | GGA-PBE | relaxed

abc: 6.146 6.146 4.268
angles: 90.00 90.00 90.00
Element x y z (fractional)
Sr  0.000  0.000  0.000
Eu  0.000  0.500  0.500
Eu  0.500  0.000  0.500
Er  0.500  0.500  0.000

## Properties
Formation energy from the elements = 0.164 eV/atom


(9)
SrEuEr | GGA-PBE | relaxed

abc: 8.731 8.731 8.731
angles: 154.60 154.60 36.23
Element x y z (fractional)
Sr  0.000  0.000  0.000
Eu  0.687  0.687  0.000
Er  0.332  0.332  0.000

## Properties
Formation energy from the elements = 0.150 eV/atom


(10)
SrEu2Er | GGA-PBE | relaxed

abc: 6.112 6.112 6.112
angles: 60.00 60.00 60.00
Element x y z (fractional)
Sr  0.000  0.000  0.000
Eu  0.250  0.250  0.250
Eu  0.750  0.750  0.750
Er  0.500  0.500  0.500

## Properties
Formation energy from the elements = 0.161 eV/atom


(11)
SrEuEr | GGA-PBE | relaxed

abc: 3.834 3.834 9.484
angles: 90.00 90.00 120.00
Element x y z (fractional)
Sr  0.000  0.000  0.000
Eu  0.333  0.667  0.636
Er  0.667  0.333  0.333

## Properties
Formation energy from the elements = 0.155 eV/atom


(12)
SrEuEr2 | GGA-PBE | relaxed

abc: 13.171 13.171 13.171
angles: 15.87 15.87 15.87
Element x y z (fractional)
Sr  0.000  0.000  0.000
Eu  0.500  0.500  0.500
Er  0.090  0.090  0.090
Er  0.910  0.910  0.910

## Properties
Formation energy from the elements = 0.304 eV/atom


(13)
SrEu2Er | GGA-PBE | relaxed

abc: 12.931 12.931 12.931
angles: 17.12 17.12 17.12
Element x y z (fractional)
Sr  0.000  0.000  0.000
Eu  0.244  0.244  0.244
Eu  0.756  0.756  0.756
Er  0.500  0.500  0.500

## Properties
Formation energy from the elements = 0.106 eV/atom


(14)
SrEu2Er | GGA-PBE | relaxed

abc: 4.121 4.121 9.737
angles: 90.00 90.00 90.00
Element x y z (fractional)
Sr  0.000  0.000  0.000
Eu  0.500  0.500  0.286
Eu  0.500  0.500  0.714
Er  0.000  0.000  0.500

## Properties
Formation energy from the elements = 0.103 eV/atom


(15)
TbEu2Er | GGA-PBE | relaxed

abc: 5.832 5.832 5.832
angles: 60.00 60.00 60.00
Element x y z (fractional)
Tb  0.000  0.000  0.000
Eu  0.250  0.250  0.250
Eu  0.750  0.750  0.750
Er  0.500  0.500  0.500

## Properties
Formation energy from the elements = 0.171 eV/atom


(16)
TbEu2Er | GGA-PBE | relaxed

abc: 5.841 5.841 4.118
angles: 90.00 90.00 90.00
Element x y z (fractional)
Tb  0.000  0.000  0.000
Eu  0.000  0.500  0.500
Eu  0.500  0.000  0.500
Er  0.500  0.500  0.000

## Properties
Formation energy from the elements = 0.173 eV/atom


(17)
TbEu2Er | GGA-PBE | relaxed

abc: 3.651 3.651 10.494
angles: 90.00 90.00 90.00
Element x y z (fractional)
Tb  0.000  0.000  0.000
Eu  0.500  0.500  0.252
Eu  0.500  0.500  0.748
Er  0.000  0.000  0.500

## Properties
Formation energy from the elements = 0.124 eV/atom


(18)
TbEu2Er | GGA-PBE | relaxed

abc: 13.028 13.028 13.028
angles: 15.74 15.74 15.74
Element x y z (fractional)
Tb  0.000  0.000  0.000
Eu  0.413  0.413  0.413
Eu  0.587  0.587  0.587
Er  0.500  0.500  0.500

## Properties
Formation energy from the elements = 0.243 eV/atom


(19)
TbEuYEr | GGA-PBE | relaxed

abc: 5.744 5.744 5.744
angles: 60.00 60.00 60.00
Element x y z (fractional)
Tb  0.000  0.000  0.000
Eu  0.750  0.750  0.750
Y  0.500  0.500  0.500
Er  0.250  0.250  0.250

## Properties
Formation energy from the elements = 0.161 eV/atom


(20)
EuErTe2 | GGA-PBE | relaxed

abc: 7.801 7.801 7.801
angles: 32.96 32.96 32.96
Element x y z (fractional)
Eu  0.000  0.000  0.000
Er  0.500  0.500  0.500
Te  0.245  0.245  0.245
Te  0.755  0.755  0.755


| no. | E (eV/atom) |
| --- | --- |
| 1 | -5.283 |
| 2 | -6.126 |
| 3 | -5.511 |
| 4 | -5.855 |
| 5 | -6.350 |
| 6 | -6.300 |
| 7 | -6.320 |
| 8 | -6.535 |
| 9 | -5.357 |
| 10 | -6.537 |
| 11 | -5.352 |
| 12 | -4.966 |
| 13 | -6.592 |
| 14 | -6.595 |
| 15 | -7.265 |
| 16 | -7.263 |
| 17 | -7.311 |
| 18 | -7.193 |
| 19 | -6.321 |
| 20 | -6.743 |